SrEuZn, relaxed, DFT GGA-PBE; SG = P3m1 (156); calculated volume = 36.5 Å³ per atom; calculated total energy = -0.1613 hartree per atom; ΔE_f = 0.0209 eV/atom; offset from the most stable computed form = 174.6 meV/atom
1.0
-3.228 2.011 2.286
-2.602 -4.645 0.412
3.535 1.421 3.742
Zn Eu Sr
1 1 1
Cartesian
0.692 -0.104 3.197
-0.390 0.243 0.276
-2.597 -1.352 2.967